Entry 1:
Entry from the Alexandria database: CaTb3Pr2Bi6 after structural relaxation (GGA-PBE).

a b c (Å): 10.229 10.229 9.145
angles (deg): 103.25 103.25 25.76
Sites, in units of the cell vectors:
Ca 0.000 0.000 0.000
Tb 0.000 0.000 0.500
Tb 0.333 0.333 0.167
Tb 0.667 0.667 0.833
Pr 0.335 0.335 0.670
Pr 0.665 0.665 0.330
Bi 0.165 0.165 0.587
Bi 0.168 0.168 0.077
Bi 0.497 0.497 0.255
Bi 0.503 0.503 0.745
Bi 0.832 0.832 0.923
Bi 0.835 0.835 0.413

Properties
Calculated total energy, eV/atom: -4.927
Calculated formation energy, eV/atom: -0.87

Entry 2:
Entry from the Alexandria database: CaTbPr2Bi4 after structural relaxation (GGA-PBE).

a b c (Å): 7.928 4.596 8.017
angles (deg): 90.00 109.46 90.00
Sites, in units of the cell vectors:
Ca 0.000 0.000 0.000
Tb 0.000 0.500 0.500
Pr 0.500 0.000 0.500
Pr 0.500 0.500 0.000
Bi 0.242 0.000 0.744
Bi 0.245 0.500 0.252
Bi 0.755 0.500 0.748
Bi 0.758 0.000 0.256

Properties
Calculated total energy, eV/atom: -4.812
Calculated formation energy, eV/atom: -0.85

Entry 3:
Entry from the Alexandria database: CaPrTh2Bi4 after structural relaxation (GGA-PBE).

a b c (Å): 7.984 4.619 8.001
angles (deg): 90.00 109.51 90.00
Sites, in units of the cell vectors:
Ca 0.000 0.000 0.000
Pr 0.000 0.500 0.500
Th 0.500 0.000 0.500
Th 0.500 0.500 0.000
Bi 0.252 0.000 0.752
Bi 0.252 0.500 0.249
Bi 0.748 0.000 0.248
Bi 0.748 0.500 0.751

Properties
Calculated total energy, eV/atom: -5.410
Calculated formation energy, eV/atom: -0.77